Entry 1:
CaSi2Mo | PBE | optimized geometry

## Properties
Offset from the most stable computed form in eV/atom: 0.561
Formation energy (no corrections) in meV per atom: 277
N(E_F) in states/eV per atom: 0.865
Total DFT energy (no corrections) in eV/atom: -5.643

Lattice parameters (Å, degrees): 5.313 5.313 5.313 136.81 136.81 62.72
Atoms (fractional coordinates):
Ca (0.000, 0.000, 0.000)
Si (0.500, 0.500, 0.000)
Si (0.750, 0.250, 0.500)
Mo (0.250, 0.750, 0.500)

=====

Entry 2:
Rb2NaSn2 | PBE | optimized geometry

## Properties
Offset from the most stable computed form in eV/atom: 0.155
N(E_F) in states/eV per atom: 0.730
ΔH_f (0 K) in eV/atom: 0.04
Total DFT energy (no corrections) in eV/atom: -2.210

Lattice parameters (Å, degrees): 8.625 8.625 8.625 142.85 142.85 53.55
Atoms (fractional coordinates):
Rb (0.250, 0.750, 0.500)
Rb (0.750, 0.250, 0.500)
Na (0.000, 0.000, 0.000)
Sn (0.413, 0.413, 0.000)
Sn (0.587, 0.587, 0.000)

=====

Entry 3:
GaMoPCl2 | PBE | optimized geometry

## Properties
Offset from the most stable computed form in eV/atom: 0.667
Formation energy (no corrections) in meV per atom: 612
N(E_F) in states/eV per atom: 0.646
Total DFT energy (no corrections) in eV/atom: -3.980

Lattice parameters (Å, degrees): 4.702 4.702 5.027 90.00 90.00 90.00
Atoms (fractional coordinates):
Ga (0.000, 0.000, 0.000)
Mo (0.500, 0.500, 0.500)
P (0.000, 0.000, 0.500)
Cl (0.000, 0.500, 0.000)
Cl (0.500, 0.000, 0.000)

=====

Entry 4:
CaCeIr2 | PBE | optimized geometry

## Properties
Offset from the most stable computed form in eV/atom: 0.000
N(E_F) in states/eV per atom: 0.243
ΔH_f (0 K) in eV/atom: -0.54
Total DFT energy (no corrections) in eV/atom: -6.950

Lattice parameters (Å, degrees): 3.545 3.545 6.659 90.00 90.00 90.00
Atoms (fractional coordinates):
Ca (0.000, 0.000, 0.000)
Ce (0.000, 0.000, 0.500)
Ir (0.500, 0.500, 0.277)
Ir (0.500, 0.500, 0.723)

=====

Entry 5:
ZnCu2Mo | PBE | optimized geometry

## Properties
N(E_F) in states/eV per atom: 0.539
ΔH_f (0 K) in eV/atom: 0.07
Total DFT energy (no corrections) in eV/atom: -5.009

Lattice parameters (Å, degrees): 2.691 2.691 7.437 90.00 90.00 90.00
Atoms (fractional coordinates):
Zn (0.000, 0.000, 0.000)
Cu (0.000, 0.000, 0.465)
Cu (0.500, 0.500, 0.238)
Mo (0.500, 0.500, 0.724)

=====

Entry 6:
TmGa3Rh3 | PBE | optimized geometry

## Properties
N(E_F) in states/eV per atom: 0.567
ΔH_f (0 K) in eV/atom: -0.13
Total DFT energy (no corrections) in eV/atom: -5.216

Lattice parameters (Å, degrees): 6.674 6.674 6.674 90.00 90.00 90.00
Atoms (fractional coordinates):
Tm (0.000, 0.000, 0.000)
Tm (0.500, 0.500, 0.500)
Ga (0.000, 0.250, 0.500)
Ga (0.000, 0.750, 0.500)
Ga (0.250, 0.500, 0.000)
Ga (0.500, 0.000, 0.250)
Ga (0.500, 0.000, 0.750)
Ga (0.750, 0.500, 0.000)
Rh (0.000, 0.500, 0.250)
Rh (0.000, 0.500, 0.750)
Rh (0.250, 0.000, 0.500)
Rh (0.500, 0.250, 0.000)
Rh (0.500, 0.750, 0.000)
Rh (0.750, 0.000, 0.500)

=====

Entry 7:
NaScGeW2 | PBE | optimized geometry

## Properties
Offset from the most stable computed form in eV/atom: 0.000
N(E_F) in states/eV per atom: 1.416
ΔH_f (0 K) in eV/atom: 2.14
Total DFT energy (no corrections) in eV/atom: -5.493

Lattice parameters (Å, degrees): 4.752 4.752 4.860 90.00 90.00 90.00
Atoms (fractional coordinates):
Na (0.000, 0.000, 0.000)
Sc (0.000, 0.000, 0.500)
Ge (0.500, 0.500, 0.000)
W (0.000, 0.500, 0.500)
W (0.500, 0.000, 0.500)

=====

Entry 8:
V7Zn | PBE | optimized geometry

## Properties
N(E_F) in states/eV per atom: 1.073
ΔH_f (0 K) in eV/atom: 0.02
Total DFT energy (no corrections) in eV/atom: -8.122

Lattice parameters (Å, degrees): 6.005 6.005 6.005 90.86 90.86 90.86
Atoms (fractional coordinates):
V (0.120, 0.120, 0.632)
V (0.120, 0.632, 0.120)
V (0.122, 0.122, 0.122)
V (0.125, 0.631, 0.631)
V (0.368, 0.880, 0.880)
V (0.369, 0.369, 0.875)
V (0.369, 0.875, 0.369)
V (0.631, 0.125, 0.631)
V (0.631, 0.631, 0.125)
V (0.632, 0.120, 0.120)
V (0.875, 0.369, 0.369)
V (0.878, 0.878, 0.878)
V (0.880, 0.368, 0.880)
V (0.880, 0.880, 0.368)
Zn (0.375, 0.375, 0.375)
Zn (0.625, 0.625, 0.625)

=====

Entry 9:
CaY | PBE | optimized geometry

## Properties
Offset from the most stable computed form in eV/atom: 0.094
N(E_F) in states/eV per atom: 1.767
ΔH_f (0 K) in eV/atom: 0.14
Total DFT energy (no corrections) in eV/atom: -4.091

Lattice parameters (Å, degrees): 5.994 3.694 6.586 90.00 90.00 90.00
Atoms (fractional coordinates):
Ca (0.250, 0.000, 0.168)
Ca (0.750, 0.000, 0.832)
Y (0.250, 0.500, 0.652)
Y (0.750, 0.500, 0.348)

=====

Entry 10:
CaHoRhPb | PBE | optimized geometry

## Properties
N(E_F) in states/eV per atom: 0.579
ΔH_f (0 K) in eV/atom: -0.44
Total DFT energy (no corrections) in eV/atom: -4.852

Lattice parameters (Å, degrees): 5.143 5.143 5.143 60.00 60.00 60.00
Atoms (fractional coordinates):
Ca (0.000, 0.000, 0.000)
Ho (0.500, 0.500, 0.500)
Rh (0.750, 0.750, 0.750)
Pb (0.250, 0.250, 0.250)

=====

Entry 11:
VCrRe | PBE | optimized geometry

## Properties
Offset from the most stable computed form in eV/atom: 0.040
N(E_F) in states/eV per atom: 0.858
ΔH_f (0 K) in eV/atom: -0.15
Total DFT energy (no corrections) in eV/atom: -10.550

Lattice parameters (Å, degrees): 2.985 2.985 8.954 90.00 90.00 90.00
Atoms (fractional coordinates):
V (0.250, 0.250, 0.082)
V (0.750, 0.750, 0.918)
Cr (0.250, 0.250, 0.422)
Cr (0.750, 0.750, 0.578)
Re (0.250, 0.250, 0.746)
Re (0.750, 0.750, 0.254)

=====

Entry 12:
HfThSn | PBE | optimized geometry

## Properties
N(E_F) in states/eV per atom: 0.842
ΔH_f (0 K) in eV/atom: -0.18
Total DFT energy (no corrections) in eV/atom: -7.303

Lattice parameters (Å, degrees): 6.010 6.010 6.010 142.47 142.47 54.12
Atoms (fractional coordinates):
Hf (0.000, 0.000, 0.000)
Th (0.696, 0.696, 0.000)
Sn (0.381, 0.381, 0.000)

=====

Entry 13:
As2S2I | PBE | optimized geometry

## Properties
Formation energy (no corrections) in meV per atom: 65
N(E_F) in states/eV per atom: 0.098
Total DFT energy (no corrections) in eV/atom: -3.756

Lattice parameters (Å, degrees): 8.491 8.491 8.491 133.78 133.78 67.43
Atoms (fractional coordinates):
As (0.240, 0.000, 0.240)
As (0.750, 0.010, 0.260)
As (0.750, 0.490, 0.740)
As (0.760, 0.000, 0.760)
S (0.506, 0.244, 0.262)
S (0.982, 0.244, 0.738)
S (0.994, 0.232, 0.238)
S (0.994, 0.756, 0.762)
I (0.303, 0.803, 0.500)
I (0.553, 0.553, 0.000)

=====

Entry 14:
ScH13Cl2O7 | PBE | optimized geometry

## Properties
N(E_F) in states/eV per atom: 0.000
Total DFT energy (no corrections) in eV/atom: -5.129

Lattice parameters (Å, degrees): 8.645 15.726 7.246 90.00 90.00 90.00
Atoms (fractional coordinates):
Sc (0.135, 0.080, 0.000)
Sc (0.365, 0.580, 0.500)
Sc (0.635, 0.420, 0.500)
Sc (0.865, 0.920, 0.000)
H (0.020, 0.356, 0.000)
H (0.051, 0.850, 0.283)
H (0.051, 0.850, 0.717)
H (0.076, 0.679, 0.500)
H (0.097, 0.208, 0.296)
H (0.097, 0.208, 0.704)
H (0.138, 0.697, 0.000)
H (0.164, 0.580, 0.182)
H (0.164, 0.580, 0.818)
H (0.182, 0.904, 0.000)
H (0.214, 0.746, 0.500)
H (0.230, 0.487, 0.209)
H (0.230, 0.487, 0.791)
H (0.270, 0.987, 0.291)
H (0.270, 0.987, 0.709)
H (0.286, 0.246, 0.000)
H (0.318, 0.404, 0.500)
H (0.336, 0.080, 0.318)
H (0.336, 0.080, 0.682)
H (0.362, 0.197, 0.500)
H (0.403, 0.708, 0.204)
H (0.403, 0.708, 0.796)
H (0.424, 0.179, 0.000)
H (0.449, 0.350, 0.217)
H (0.449, 0.350, 0.783)
H (0.480, 0.856, 0.500)
H (0.520, 0.144, 0.500)
H (0.551, 0.650, 0.217)
H (0.551, 0.650, 0.783)
H (0.576, 0.821, 0.000)
H (0.597, 0.292, 0.204)
H (0.597, 0.292, 0.796)
H (0.638, 0.803, 0.500)
H (0.664, 0.920, 0.318)
H (0.664, 0.920, 0.682)
H (0.682, 0.596, 0.500)
H (0.714, 0.754, 0.000)
H (0.730, 0.013, 0.291)
H (0.730, 0.013, 0.709)
H (0.770, 0.513, 0.209)
H (0.770, 0.513, 0.791)
H (0.786, 0.254, 0.500)
H (0.818, 0.096, 0.000)
H (0.836, 0.420, 0.182)
H (0.836, 0.420, 0.818)
H (0.862, 0.303, 0.000)
H (0.903, 0.792, 0.296)
H (0.903, 0.792, 0.704)
H (0.924, 0.321, 0.500)
H (0.949, 0.150, 0.283)
H (0.949, 0.150, 0.717)
H (0.980, 0.644, 0.000)
Cl (0.168, 0.293, 0.500)
Cl (0.231, 0.882, 0.500)
Cl (0.269, 0.382, 0.000)
Cl (0.332, 0.793, 0.000)
Cl (0.668, 0.207, 0.000)
Cl (0.731, 0.618, 0.000)
Cl (0.769, 0.118, 0.500)
Cl (0.832, 0.707, 0.500)
O (0.041, 0.168, 0.213)
O (0.041, 0.168, 0.787)
O (0.094, 0.639, 0.000)
O (0.102, 0.949, 0.000)
O (0.190, 0.684, 0.500)
O (0.210, 0.541, 0.274)
O (0.210, 0.541, 0.726)
O (0.290, 0.041, 0.226)
O (0.290, 0.041, 0.774)
O (0.310, 0.184, 0.000)
O (0.398, 0.449, 0.500)
O (0.406, 0.139, 0.500)
O (0.459, 0.668, 0.287)
O (0.459, 0.668, 0.713)
O (0.541, 0.332, 0.287)
O (0.541, 0.332, 0.713)
O (0.594, 0.861, 0.500)
O (0.602, 0.551, 0.500)
O (0.690, 0.816, 0.000)
O (0.710, 0.959, 0.226)
O (0.710, 0.959, 0.774)
O (0.790, 0.459, 0.274)
O (0.790, 0.459, 0.726)
O (0.810, 0.316, 0.500)
O (0.898, 0.051, 0.000)
O (0.906, 0.361, 0.000)
O (0.959, 0.832, 0.213)
O (0.959, 0.832, 0.787)

=====

Entry 15:
Nd12Ge6N | PBE | optimized geometry

## Properties
Formation energy (no corrections) in meV per atom: -592
N(E_F) in states/eV per atom: 1.057
Total DFT energy (no corrections) in eV/atom: -5.499

Lattice parameters (Å, degrees): 8.398 8.398 8.398 98.61 98.61 98.61
Atoms (fractional coordinates):
Nd (0.024, 0.931, 0.695)
Nd (0.069, 0.305, 0.976)
Nd (0.186, 0.564, 0.427)
Nd (0.305, 0.976, 0.069)
Nd (0.427, 0.186, 0.564)
Nd (0.436, 0.573, 0.814)
Nd (0.564, 0.427, 0.186)
Nd (0.573, 0.814, 0.436)
Nd (0.695, 0.024, 0.931)
Nd (0.814, 0.436, 0.573)
Nd (0.931, 0.695, 0.024)
Nd (0.976, 0.069, 0.305)
Ge (0.123, 0.293, 0.629)
Ge (0.293, 0.629, 0.123)
Ge (0.371, 0.877, 0.707)
Ge (0.629, 0.123, 0.293)
Ge (0.707, 0.371, 0.877)
Ge (0.877, 0.707, 0.371)
N (0.000, 0.000, 0.000)

=====

Entry 16:
K2TlSe | PBE | optimized geometry

## Properties
Offset from the most stable computed form in eV/atom: 0.280
Formation energy (no corrections) in meV per atom: -337
N(E_F) in states/eV per atom: 0.374
Total DFT energy (no corrections) in eV/atom: -2.348

Lattice parameters (Å, degrees): 11.687 11.687 11.687 153.69 153.69 37.55
Atoms (fractional coordinates):
K (0.076, 0.625, 0.951)
K (0.375, 0.326, 0.451)
K (0.674, 0.125, 0.049)
K (0.875, 0.924, 0.549)
Tl (0.250, 0.750, 0.500)
Tl (0.500, 0.500, 0.000)
Se (0.000, 0.000, 0.000)
Se (0.750, 0.250, 0.500)

=====

Entry 17:
Ir3PbS | PBE | optimized geometry

## Properties
Offset from the most stable computed form in eV/atom: 1.854
Formation energy (no corrections) in meV per atom: 2579
N(E_F) in states/eV per atom: 1.716
Total DFT energy (no corrections) in eV/atom: -4.305

Lattice parameters (Å, degrees): 5.022 5.022 5.022 90.00 90.00 90.00
Atoms (fractional coordinates):
Ir (0.000, 0.000, 0.500)
Ir (0.000, 0.500, 0.000)
Ir (0.500, 0.000, 0.000)
Pb (0.000, 0.000, 0.000)
S (0.500, 0.500, 0.500)

=====

Entry 18:
KZn2CdGa | PBE | optimized geometry

## Properties
Offset from the most stable computed form in eV/atom: 0.000
N(E_F) in states/eV per atom: 0.206
ΔH_f (0 K) in eV/atom: 0.25
Total DFT energy (no corrections) in eV/atom: -1.263

Lattice parameters (Å, degrees): 4.871 4.871 6.464 90.00 90.00 90.00
Atoms (fractional coordinates):
K (0.000, 0.000, 0.000)
Zn (0.000, 0.500, 0.500)
Zn (0.500, 0.000, 0.500)
Cd (0.500, 0.500, 0.000)
Ga (0.000, 0.000, 0.500)

=====

Entry 19:
RbGa3Au3 | PBE | optimized geometry

## Properties
Offset from the most stable computed form in eV/atom: 0.001
N(E_F) in states/eV per atom: 0.298
ΔH_f (0 K) in eV/atom: -0.22
Total DFT energy (no corrections) in eV/atom: -3.060

Lattice parameters (Å, degrees): 7.254 7.254 7.254 80.93 80.93 80.93
Atoms (fractional coordinates):
Rb (0.168, 0.168, 0.168)
Rb (0.832, 0.832, 0.832)
Ga (0.197, 0.440, 0.694)
Ga (0.306, 0.803, 0.560)
Ga (0.440, 0.694, 0.197)
Ga (0.560, 0.306, 0.803)
Ga (0.694, 0.197, 0.440)
Ga (0.803, 0.560, 0.306)
Au (0.108, 0.650, 0.373)
Au (0.350, 0.627, 0.892)
Au (0.373, 0.108, 0.650)
Au (0.627, 0.892, 0.350)
Au (0.650, 0.373, 0.108)
Au (0.892, 0.350, 0.627)

=====

Entry 20:
HfTeAs | PBE | optimized geometry

## Properties
Formation energy (no corrections) in meV per atom: -581
N(E_F) in states/eV per atom: 0.292
Total DFT energy (no corrections) in eV/atom: -6.496

Lattice parameters (Å, degrees): 5.929 7.479 7.487 77.70 67.19 73.73
Atoms (fractional coordinates):
Hf (0.000, 0.000, 0.000)
Hf (0.240, 0.396, 0.037)
Hf (0.495, 0.511, 0.572)
Hf (0.750, 0.974, 0.542)
Te (0.041, 0.575, 0.410)
Te (0.498, 0.721, 0.876)
Te (0.560, 0.853, 0.299)
Te (0.687, 0.335, 0.210)
As (0.042, 0.714, 0.812)
As (0.149, 0.083, 0.278)
As (0.277, 0.214, 0.729)
As (0.707, 0.211, 0.784)